Material: PaCrBO6
Method: DFT, PBE+U
State: optimized geometry

Structure (POSCAR):
```
PaCrBO6
1.0
-0.157 4.182 -2.185
1.152 -2.116 -4.133
-4.594 0.477 1.243
O Pa B Cr
6 1 1 1
Cartesian
-0.307 1.021 -5.268 O
-1.028 0.709 -1.527 O
0.176 2.334 -2.789 O
0.710 -0.283 -3.551 O
-2.109 -0.542 -3.844 O
-2.493 1.800 -3.620 O
-2.679 -0.387 -0.549 Pa
-0.078 2.091 -1.092 B
-0.842 0.840 -3.433 Cr
```

Output
- total magnetic moment (μB per formula unit) = 2.00
- E_tot (eV per atom) = -8.11